Record 1
A relaxed Pr2DyCl crystal, computed with PBE.

Energy relative to the elements, uncorrected (eV per atom): -0.6684

Lattice parameters (Å, degrees): 3.6899 3.6899 31.2786 90.00 90.00 120.00
Closest atoms and distances in Å follow each position.
Space group R-3m (No. 166, hexagonal axes)
Asymmetric unit:
Pr (0.0000, 0.0000, 0.2401)  3 Cl 3.13
Dy (0.0000, 0.0000, 0.0000)  6 Pr 3.61, 6 Dy 3.69
Cl (0.0000, 0.0000, 0.5000)  6 Pr 3.13



Record 2
A relaxed PrDySCl crystal, computed with PBE.

Energy relative to the elements, uncorrected (eV per atom): -1.6132

Lattice parameters (Å, degrees): 6.7323 3.8921 7.7315 90.00 106.78 90.00
Closest atoms and distances in Å follow each position.
Space group Cm (No. 8)
Asymmetric unit:
Pr (0.0000, 0.0000, 0.0000)  3 S 2.79
Dy (0.1942, 0.0000, 0.5823)  3 S 2.66, 3 Cl 2.95-2.96
S (0.0919, 0.5000, 0.7757)  3 Dy 2.66, 3 Pr 2.79
Cl (0.2747, 0.5000, 0.3228)  3 Dy 2.95-2.96, 3 Pr 3.27-3.28



Record 3
A relaxed PrDyTe2Cl crystal, computed with PBE.

Energy relative to the elements, uncorrected (eV per atom): -1.6124

Lattice parameters (Å, degrees): 4.3650 4.3650 15.1022 90.00 90.00 90.00
Closest atoms and distances in Å follow each position.
Space group P4/nmm (No. 129, origin choice 2)
Asymmetric unit:
Pr (0.2500, 0.2500, 0.1347)  4 Cl 2.98, 4 Te 3.28
Dy (0.2500, 0.2500, 0.5838)  6 Te 3.10-3.16
Te (0.2500, 0.2500, 0.3785)  5 Dy 3.10-3.14
Te (0.2500, 0.2500, 0.7927)  1 Dy 3.16, 4 Pr 3.28
Cl (0.2500, 0.7500, 0.0000)  4 Pr 2.98, 4 Cl 3.09



Record 4
A relaxed Dy2PtCl crystal, computed with PBE.

Energy relative to the elements, uncorrected (eV per atom): -1.3683

Lattice parameters (Å, degrees): 4.2294 4.2294 24.3700 90.00 90.00 120.00
Closest atoms and distances in Å follow each position.
Space group R-3m (No. 166, hexagonal axes)
Asymmetric unit:
Dy (0.0000, 0.0000, 0.1094)  1 Cl 2.67, 3 Pt 2.81
Pt (0.0000, 0.0000, 0.5000)  6 Dy 2.81
Cl (0.0000, 0.0000, 0.0000)  2 Dy 2.67



Record 5
A relaxed Dy2PtCl crystal, computed with PBE.

Energy relative to the elements, uncorrected (eV per atom): -1.3224

Lattice parameters (Å, degrees): 4.0466 4.0466 22.6048 90.00 90.00 120.00
Closest atoms and distances in Å follow each position.
Space group R3m (No. 160, hexagonal axes)
Asymmetric unit:
Dy (0.0000, 0.0000, 0.0000)  3 Pt 2.77
Dy (0.0000, 0.0000, 0.2010)  3 Pt 2.78
Pt (0.0000, 0.0000, 0.6011)  6 Dy 2.77-2.78
Cl (0.0000, 0.0000, 0.7742)  6 Dy 3.15-3.37



Record 6
A relaxed DyPtCl crystal, computed with PBE.

Energy relative to the elements, uncorrected (eV per atom): -1.4647

Lattice parameters (Å, degrees): 21.3405 3.9581 7.7244 90.00 93.80 90.00
Closest atoms and distances in Å follow each position.
Space group C2/m (No. 12)
Asymmetric unit:
Dy (0.1524, 0.0000, 0.0995)  1 Cl 2.69, 4 Pt 2.79-2.87
Dy (0.1566, 0.0000, 0.6153)  1 Cl 2.71, 4 Pt 2.81-2.82
Pt (0.2449, 0.5000, 0.1232)  4 Pt 2.76-2.77, 4 Dy 2.79-2.87
Pt (0.2495, 0.0000, 0.3741)  4 Pt 2.77, 4 Dy 2.81-2.87
Cl (0.0689, 0.0000, 0.3450)  2 Dy 2.69-2.71
Cl (0.0903, 0.5000, 0.8491)  4 Dy 3.01-3.08